DFT (GGA-PBE) results for a relaxed Ce2DyEr crystal.

CIF file:
```
data_Ce2DyEr
_symmetry_space_group_name_H-M 'R -3 m'
_symmetry_Int_Tables_number 166
_symmetry_space_group_name_Hall '-R 3 2"'
_cell_length_a 3.4740
_cell_length_b 3.4740
_cell_length_c 34.3479
_cell_angle_alpha 90.00
_cell_angle_beta 90.00
_cell_angle_gamma 120.00
loop_
_atom_site_label
_atom_site_type_symbol
_atom_site_fract_x
_atom_site_fract_y
_atom_site_fract_z
_atom_site_occupancy
Ce1 Ce 0.0000 0.0000 0.2503 1
Dy1 Dy 0.0000 0.0000 0.5000 1
Er1 Er 0.0000 0.0000 0.0000 1
```

distance to the lowest polymorph of the same formula = 0 meV per atom
formation enthalpy at 0 K = 86 meV/atom
V = 359 Å³ per cell
total magnetic moment = 1.49 μB/f.u.
Fermi-level density of states = 10.4 states/eV/f.u.
total energy = -5.172 eV/atom